Record 1
12
Lattice="-2.896 -1.649 -6.040 3.567 -5.634 -1.746 -5.923 -6.832 2.689" Properties=species:S:1:pos:R:3 comment="KMn2BiBr8 (PBE, optimized geometry)" density_g_cm3=3.89 raw_formation_energy_ev_per_atom=-0.88 pbc="T T T"
K -2.962 -3.416 1.344
Br 0.336 -5.570 -5.494
Br -2.796 -3.939 -4.243
Br -5.588 -8.544 0.396
Br -2.368 -8.228 -3.870
Br -2.456 -10.175 -0.854
Br 0.673 -6.018 -1.782
Br -2.885 -5.886 -1.228
Br -5.925 -8.096 -3.315
Bi 0.000 0.000 0.000
Mn -1.299 -5.967 -3.506
Mn -3.953 -8.147 -1.592

=====

Record 2
18
Lattice="-3.097 -5.933 2.825 5.275 -0.663 -4.950 9.966 -0.137 10.638" Properties=species:S:1:pos:R:3 comment="KMnBiBr6 (PBE, optimized geometry)" density_g_cm3=3.90 raw_formation_energy_ev_per_atom=-0.99 pbc="T T T"
Br 11.879 -0.658 6.036
Br 9.457 -2.510 8.281
Br 0.265 -6.075 2.477
Br 8.327 -0.456 4.984
Br 7.835 -4.188 5.398
Br 10.436 -2.878 2.978
Br 0.324 -2.289 2.470
Br 2.687 -4.223 0.232
Br 3.817 -6.277 3.528
Br 4.309 -2.545 3.115
Br 1.708 -3.855 5.535
Br 11.820 -4.444 6.042
Mn 2.185 -4.210 2.893
Mn 9.959 -2.522 5.620
Bi 7.168 -4.279 8.212
Bi 4.976 -2.454 0.301
K 4.983 -0.068 5.319
K 0.000 0.000 0.000

=====

Record 3
10
Lattice="7.670 0.001 0.001 3.836 6.641 0.000 3.835 2.214 6.948" Properties=species:S:1:pos:R:3 comment="KNa2BiBr6 (PBE, optimized geometry)" density_g_cm3=3.63 raw_formation_energy_ev_per_atom=-1.27 pbc="T T T"
Br 10.328 4.441 1.657
Br 5.474 4.135 5.271
Br 6.352 2.122 1.656
Br 6.331 6.723 1.656
Br 8.515 6.476 5.271
Br 9.022 2.672 5.272
K 11.505 6.642 4.007
Bi 3.835 2.214 0.160
Na 3.836 2.214 6.845
Na 7.671 4.428 3.057

=====

Record 4
9
Lattice="7.133 0.000 0.000 3.567 6.177 0.000 0.000 0.000 7.269" Properties=species:S:1:pos:R:3 comment="KNiBiBr6 (PBE, optimized geometry)" density_g_cm3=4.08 raw_formation_energy_ev_per_atom=-0.81 pbc="T T T"
Bi 7.133 4.118 3.635
Br 5.640 2.178 5.172
Br 4.501 0.204 2.097
Br 2.633 0.204 5.172
Br 2.427 3.796 5.172
Br 4.706 3.796 2.097
Br 1.493 2.178 2.096
K 7.133 0.000 7.269
Ni 3.567 2.059 3.634

=====

Record 5
11
Lattice="-1.672 -0.983 4.064 -1.093 -4.121 -1.447 12.761 -1.745 2.333" Properties=species:S:1:pos:R:3 comment="K3Bi2Br2O4 (PBE, optimized geometry)" density_g_cm3=4.90 raw_formation_energy_ev_per_atom=-1.25 pbc="T T T"
O 9.097 -5.703 2.363
O 1.188 -2.716 -0.168
O 0.899 -1.147 2.587
O 8.808 -4.133 5.118
K 6.539 -5.544 3.843
K 3.457 -1.306 1.106
K 0.000 0.000 0.000
Br 3.014 -4.212 2.715
Br 6.982 -2.637 2.234
Bi 0.454 -3.246 1.896
Bi 9.542 -3.603 3.053

=====

Record 6
6
Lattice="-3.838 -2.485 0.018 1.287 -2.015 -3.898 3.243 -4.981 3.645" Properties=species:S:1:pos:R:3 comment="K2BiBrO2 (PBE, optimized geometry)" density_g_cm3=4.55 raw_formation_energy_ev_per_atom=-1.32 pbc="T T T"
Br 1.621 -2.491 1.822
O 0.643 -1.007 -1.949
O -1.919 -1.243 0.009
K -0.492 -3.454 -1.059
K 1.183 -6.028 0.824
Bi 0.000 0.000 0.000